1.
A relaxed structure of VCoC3, computed with PBE.

a b c (Å): 3.8553 3.8553 3.8553
angles (deg): 90.00 90.00 90.00
Closest atoms and distances in Å follow each position.
Fractional positions:
1 V 0.0000 0.0000 0.0000  6 C 1.93
2 Co 0.5000 0.5000 0.5000  12 C 2.73
3 C 0.0000 0.0000 0.5000  2 V 1.93
4 C 0.0000 0.5000 0.0000  2 V 1.93
5 C 0.5000 0.0000 0.0000  2 V 1.93

## Properties
energy relative to the elements = 2008 meV per atom
symmetry = Pm-3m
distance to the lowest polymorph of the same formula = 76 meV per atom

=====

2.
A relaxed structure of CsSiAg2Au, computed with PBE.

a b c (Å): 5.1400 5.1400 4.9967
angles (deg): 90.00 90.00 90.00
Closest atoms and distances in Å follow each position.
Fractional positions:
1 Cs 0.0000 0.0000 0.0000  8 Ag 3.58, 4 Au 3.63
2 Si 0.5000 0.5000 0.5000  2 Au 2.50, 4 Ag 2.57
3 Ag 0.0000 0.5000 0.5000  2 Si 2.57
4 Ag 0.5000 0.0000 0.5000  2 Si 2.57
5 Au 0.5000 0.5000 0.0000  2 Si 2.50

## Properties
raw formation energy = 0.0066 eV per atom
symmetry = P4/mmm

=====

3.
A relaxed structure of Ac2TbNd3Se6, computed with PBE.

a b c (Å): 7.4438 7.4438 7.4210
angles (deg): 99.67 99.67 120.17
Closest atoms and distances in Å follow each position.
Fractional positions:
1 Ac 0.1655 0.8345 0.0000  6 Se 3.09-3.11
2 Ac 0.8345 0.1655 0.0000  6 Se 3.09-3.11
3 Tb 0.5000 0.5000 0.0000  6 Se 2.95-2.98
4 Nd 0.0000 0.0000 0.5000  6 Se 2.98-3.09
5 Nd 0.3265 0.6735 0.5000  6 Se 2.98-3.05
6 Nd 0.6735 0.3265 0.5000  6 Se 2.98-3.05
7 Se 0.0977 0.4167 0.7474  1 Tb 2.95, 3 Nd 2.98-3.05, 2 Ac 3.09-3.10
8 Se 0.2691 0.2691 0.2600  1 Tb 2.98, 3 Nd 3.01-3.09, 2 Ac 3.11
9 Se 0.4167 0.0977 0.7474  1 Tb 2.95, 3 Nd 2.98-3.05, 2 Ac 3.09-3.10
10 Se 0.5833 0.9023 0.2526  1 Tb 2.95, 3 Nd 2.98-3.05, 2 Ac 3.09-3.10
11 Se 0.7309 0.7309 0.7400  1 Tb 2.98, 3 Nd 3.01-3.09, 2 Ac 3.11
12 Se 0.9023 0.5833 0.2526  1 Tb 2.95, 3 Nd 2.98-3.05, 2 Ac 3.09-3.10

## Properties
raw formation energy = -1.8209 eV per atom
symmetry = C2/m